This record from Alexandria describes crystalline Pm2ZnNi4Sb3 at its relaxed geometry. The functional is PBE-GGA.

ρ = 8.37 g cm⁻³
raw formation energy = -0.633 eV/atom
size of the total moment = 0.0 μB/f.u.
V = 189.5 Å³/cell
total DFT energy (no corrections) = -5.26 eV/atom

a b c (Å): 4.320 4.320 10.155
angles (deg): 90.00 90.00 90.00
Positions (direct):
Pm (0.000, 0.500, 0.247)
Pm (0.500, 0.000, 0.753)
Zn (0.000, 0.000, 0.500)
Ni (0.000, 0.000, 0.000)
Ni (0.000, 0.500, 0.624)
Ni (0.500, 0.000, 0.376)
Ni (0.500, 0.500, 0.000)
Sb (0.000, 0.500, 0.867)
Sb (0.500, 0.000, 0.133)
Sb (0.500, 0.500, 0.500)